[1]
CsDy2CuSe3S: relaxed, PBE.

Lattice parameters (Å, degrees): 7.5581 7.5581 14.2939 90.00 90.00 148.33
Last column: nearest neighbours and their distance in Å.
Fractional coordinates of all 16 atoms:
Cs  0.1019  0.8981  0.2500  2 S 3.38, 4 Se 3.53
Cs  0.8981  0.1019  0.7500  2 S 3.38, 4 Se 3.53
Se  0.0000  0.0000  0.5000  4 Dy 2.99
Se  0.0000  0.0000  0.0000  4 Dy 2.99
Se  0.2595  0.7405  0.6076  1 Cu 2.48
Se  0.2595  0.7405  0.8924  1 Cu 2.48
Se  0.7405  0.2595  0.3924  1 Cu 2.48
Se  0.7405  0.2595  0.1076  1 Cu 2.48
Cu  0.1617  0.8383  0.7500  2 S 2.36, 2 Se 2.48
Cu  0.8383  0.1617  0.2500  2 S 2.36, 2 Se 2.48
Dy  0.3667  0.6333  0.4330  1 S 2.72, 5 Se 2.82-2.99
Dy  0.6333  0.3667  0.5670  1 S 2.72, 5 Se 2.82-2.99
Dy  0.3667  0.6333  0.0670  1 S 2.72, 5 Se 2.82-2.99
Dy  0.6333  0.3667  0.9330  1 S 2.72, 5 Se 2.82-2.99
S  0.5826  0.4174  0.7500  2 Cu 2.36
S  0.4174  0.5826  0.2500  2 Cu 2.36

Space group: No. 63

[2]
CsDy2CuTe3S: relaxed, PBE.

Lattice parameters (Å, degrees): 7.8925 7.8925 15.4896 90.00 90.00 148.76
Last column: nearest neighbours and their distance in Å.
Fractional coordinates of all 16 atoms:
Te  0.2469  0.7531  0.6032  1 Cu 2.64
Te  0.9339  0.0661  0.7500  2 Cu 2.60
Te  0.7531  0.2469  0.3968  1 Cu 2.64
Te  0.7531  0.2469  0.1032  1 Cu 2.64
Te  0.2469  0.7531  0.8968  1 Cu 2.64
Te  0.0661  0.9339  0.2500  2 Cu 2.60
Cs  0.3776  0.6224  0.2500  6 Te 3.57-3.64, 2 Cu 3.87
Cs  0.6224  0.3776  0.7500  6 Te 3.57-3.64, 2 Cu 3.87
Dy  0.8831  0.1169  0.5593  2 S 2.92, 4 Te 3.04-3.20
Dy  0.1169  0.8831  0.0593  2 S 2.92, 4 Te 3.04-3.20
Dy  0.1169  0.8831  0.4407  2 S 2.92, 4 Te 3.04-3.20
Dy  0.8831  0.1169  0.9407  2 S 2.92, 4 Te 3.04-3.20
Cu  0.3352  0.6648  0.7500  4 Te 2.60-2.64
Cu  0.6648  0.3352  0.2500  4 Te 2.60-2.64
S  0.5000  0.5000  0.0000  4 Dy 2.92
S  0.5000  0.5000  0.5000  4 Dy 2.92

Space group: No. 63

The records above give, respectively, ρ values of 6.12 6.21 g/cm3.
The records above give, respectively, E_tot values of -5.0746 -4.5995 eV per atom.